A plane-wave DFT calculation with PBEsol was carried out for crystalline HfMgF2 at its relaxed geometry.

Lattice parameters (Å, degrees): 3.143 3.143 6.810 76.66 76.66 60.00
Last column: magnetic moment on the atom in μB.
Atoms (fractional coordinates):
Mg 0.500 0.500 0.500  0.00
F 0.122 0.122 0.635  0.01
F 0.878 0.878 0.365  0.01
Hf 0.000 0.000 0.000  0.14

offset from the most stable computed form: 0.000 eV per atom
M_tot: 0.3 μB per formula unit
space group: No. 166

A plane-wave DFT calculation with PBEsol was carried out for crystalline HfMgOF2 at its relaxed geometry.

Lattice parameters (Å, degrees): 4.007 4.298 4.298 90.00 90.00 90.00
Atoms (fractional coordinates):
Mg 0.500 0.500 0.500
O 0.500 0.000 0.000
Hf 0.000 0.000 0.000
F 0.000 0.000 0.500
F 0.000 0.500 0.000

offset from the most stable computed form: 0.000 eV per atom
M_tot: 0.0 μB per formula unit
space group: No. 123

A plane-wave DFT calculation with PBEsol was carried out for crystalline HfMgOF2 at its relaxed geometry.

Lattice parameters (Å, degrees): 3.611 3.611 4.605 90.00 90.00 90.00
Last column: magnetic moment on the atom in μB.
Atoms (fractional coordinates):
Hf 0.500 0.500 0.500  0.76
F 0.000 0.500 0.000  0.02
F 0.500 0.000 0.000  0.02
O 0.000 0.000 0.500  0.01
Mg 0.000 0.000 0.000  0.00

offset from the most stable computed form: 0.350 eV per atom
M_tot: 1.2 μB per formula unit
space group: No. 123

A plane-wave DFT calculation with PBEsol was carried out for crystalline HfMnNF2 at its relaxed geometry.

Lattice parameters (Å, degrees): 3.761 3.761 4.062 90.00 90.00 90.00
Last column: magnetic moment on the atom in μB.
Atoms (fractional coordinates):
F 0.000 0.500 0.000  0.04
F 0.500 0.000 0.000  0.04
Hf 0.500 0.500 0.500  -0.53
Mn 0.000 0.000 0.000  3.25
N 0.000 0.000 0.500  0.02

E: -7.393 eV/atom
M_tot: 2.7 μB per formula unit
space group: No. 123